[1]
HgBiPdBr2: optimized geometry, PBE-GGA.

```
HgBiPdBr2
1.0
5.7333 0.0000 0.0000
0.0000 5.7333 0.0000
0.0000 0.0000 5.9048
Hg Bi Pd Br
1 1 1 2
direct
0.0000 0.0000 0.0000
0.0000 0.0000 0.5000
0.5000 0.5000 0.0000
0.0000 0.5000 0.5000
0.5000 0.0000 0.5000
```

## Properties
Raw total energy, eV/atom: -2.223
Symmetry: P4/mmm (123)

[2]
Hg2BiPtBr: optimized geometry, PBE-GGA.

```
Hg2BiPtBr
1.0
5.3566 0.0000 0.0000
0.0000 5.3566 0.0000
0.0000 0.0000 5.2542
Hg Bi Pt Br
2 1 1 1
direct
0.0000 0.5000 0.0000
0.5000 0.0000 0.0000
0.0000 0.0000 0.5000
0.0000 0.0000 0.0000
0.5000 0.5000 0.5000
```

## Properties
Raw total energy, eV/atom: -2.561
Symmetry: P4/mmm (123)

[3]
RbHgBiBr6: optimized geometry, PBE-GGA.

```
RbHgBiBr6
1.0
7.4823 0.0000 0.0000
-3.7411 6.4798 0.0000
0.0000 0.0000 7.5980
Rb Hg Bi Br
1 1 1 6
direct
0.0000 0.0000 0.0000
0.6667 0.3333 0.5000
0.3333 0.6667 0.5000
0.3775 0.0030 0.7198
0.3775 0.3745 0.2802
0.6255 0.0030 0.2802
0.6255 0.6225 0.7198
0.9970 0.3745 0.7198
0.9970 0.6225 0.2802
```

## Properties
Raw total energy, eV/atom: -2.558
Symmetry: P312 (149)

[4]
RbHg2BiBr8: optimized geometry, PBE-GGA.

```
RbHg2BiBr8
1.0
6.9726 0.0000 0.0000
-0.7446 8.0295 0.0000
-0.4750 -3.9562 9.2216
Rb Hg Bi Br
1 2 1 8
direct
0.0000 0.0000 0.0000
0.4398 0.2546 0.8002
0.5602 0.7454 0.1998
0.0000 0.0000 0.5000
0.1644 0.7917 0.2342
0.2344 0.8718 0.6726
0.3028 0.3062 0.5749
0.4339 0.2961 0.0652
0.5661 0.7039 0.9348
0.6972 0.6938 0.4251
0.7656 0.1282 0.3274
0.8356 0.2083 0.7658
```

## Properties
Raw total energy, eV/atom: -2.326
Symmetry: P-1 (2)

[5]
SnHgBiBr2: optimized geometry, PBE-GGA.

```
SnHgBiBr2
1.0
5.6398 0.0000 0.0000
0.0000 5.6398 0.0000
0.0000 0.0000 6.2031
Sn Hg Bi Br
1 1 1 2
direct
0.0000 0.0000 0.0000
0.5000 0.5000 0.5000
0.0000 0.0000 0.5000
0.0000 0.5000 0.0000
0.5000 0.0000 0.0000
```

## Properties
Raw total energy, eV/atom: -2.358
Symmetry: P4/mmm (123)

[6]
TaHgBiBr2: optimized geometry, PBE-GGA.

```
TaHgBiBr2
1.0
5.6860 0.0000 0.0000
0.0000 5.6860 0.0000
0.0000 0.0000 5.9705
Ta Hg Bi Br
1 1 1 2
direct
0.0000 0.0000 0.0000
0.5000 0.5000 0.0000
0.5000 0.5000 0.5000
0.0000 0.5000 0.5000
0.5000 0.0000 0.5000
```

## Properties
Raw total energy, eV/atom: -2.703
Symmetry: P4/mmm (123)

[7]
TlHg2BiBr8: optimized geometry, PBE-GGA.

```
TlHg2BiBr8
1.0
6.9698 0.0000 0.0000
-1.0654 7.9878 0.0000
-0.1601 -3.5193 8.9711
Tl Hg Bi Br
1 2 1 8
direct
0.0000 0.0000 0.0000
0.4428 0.2596 0.8012
0.5572 0.7404 0.1988
0.0000 0.0000 0.5000
0.1662 0.7940 0.2267
0.2323 0.8767 0.6811
0.3092 0.3068 0.5651
0.4028 0.3060 0.0763
0.5972 0.6940 0.9237
0.6908 0.6932 0.4349
0.7677 0.1233 0.3189
0.8338 0.2060 0.7733
```

## Properties
Raw total energy, eV/atom: -2.284
Symmetry: P-1 (2)

[8]
TlHgBiBr6: optimized geometry, PBE-GGA.

```
TlHgBiBr6
1.0
7.4283 0.0000 0.0000
-3.7141 6.4331 0.0000
0.0000 0.0000 14.5465
Tl Hg Bi Br
2 2 2 12
direct
0.0000 0.0000 0.0000
0.0000 0.0000 0.5000
0.3333 0.6667 0.2500
0.6667 0.3333 0.7500
0.3333 0.6667 0.7500
0.6667 0.3333 0.2500
0.0034 0.3700 0.1358
0.0034 0.6333 0.3642
0.3667 0.3700 0.3642
0.3667 0.9966 0.1358
0.3700 0.0034 0.6358
0.3700 0.3667 0.8642
0.6300 0.6333 0.1358
0.6300 0.9966 0.3642
0.6333 0.0034 0.8642
0.6333 0.6300 0.6358
0.9966 0.3667 0.6358
0.9966 0.6300 0.8642
```

## Properties
Raw total energy, eV/atom: -2.505
Symmetry: P-31c (163)

[9]
Tl2HgBiBr6: optimized geometry, PBE-GGA.

```
Tl2HgBiBr6
1.0
8.0088 0.0000 0.0000
-3.9949 6.9728 0.0000
-3.9498 -2.3370 6.8985
Tl Hg Bi Br
2 1 1 6
direct
0.0000 0.0000 0.0000
0.0060 0.5019 0.5095
0.5849 0.7931 0.3784
0.5914 0.2961 0.8876
0.0757 0.4458 0.1439
0.1081 0.1425 0.6566
0.5140 0.0689 0.1452
0.5156 0.9667 0.6526
0.6904 0.5484 0.6562
0.6953 0.6296 0.1465
```

## Properties
Raw total energy, eV/atom: -2.560
Symmetry: P1 (1)

[10]
TlHg2BiBr4: optimized geometry, PBE-GGA.

```
TlHg2BiBr4
1.0
5.7678 0.0000 0.0000
2.8797 7.0824 0.0000
0.0021 2.6289 7.5838
Tl Hg Bi Br
1 2 1 4
direct
0.0000 0.0000 0.0000
0.2477 0.5026 0.2241
0.7861 0.4252 0.4157
0.6165 0.7669 0.5946
0.1081 0.7834 0.5680
0.4563 0.0877 0.7156
0.5013 0.9983 0.2238
0.7603 0.4783 0.9347
```

## Properties
Raw total energy, eV/atom: -2.225
Symmetry: P1 (1)

What is the raw total energy in the seventh record?
-2.284 eV/atom

Which value of raw total energy does entry 2 give?
-2.561 eV/atom